[1]
A plane-wave DFT calculation with PBE was carried out for a geometry-optimized BaCaTe2 structure.

Properties
The calculated volume comes out at 157.1 Å³/f.u. The value obtained for the total energy is -67.3 eV for the cell shown. For the energy relative to the elements, uncorrected, the calculation gives -1652 meV/atom. The calculation puts the polymorph energy (0 for the lowest one) at 43.9 meV per atom.

Geometry as CIF:
```
data_BaCaTe2
_cell_length_a 8.262
_cell_length_b 4.747
_cell_length_c 16.019
_cell_angle_alpha 90.00
_cell_angle_beta 90.00
_cell_angle_gamma 90.00
_space_group_name_H-M_alt 'P n m a'
_space_group_IT_number 62
loop_
_space_group_symop_operation_xyz
'x,y,z'
'-x,-y,-z'
'-x+1/2,-y,z+1/2'
'x+1/2,y,-z+1/2'
'x+1/2,-y+1/2,-z+1/2'
'-x+1/2,y+1/2,z+1/2'
'-x,y+1/2,-z'
'x,-y+1/2,z'
loop_
_atom_site_label
_atom_site_fract_x
_atom_site_fract_y
_atom_site_fract_z
Ba1 0.093 0.250 0.144
Ca1 0.086 0.750 0.396
Te1 0.155 0.250 0.754
Te2 0.241 0.250 0.493
```

---

[2]
A plane-wave DFT calculation with PBE was carried out for a geometry-optimized TcHgN2O structure.

Properties
The calculated volume comes out at 61.9 Å³/f.u. The value obtained for the total energy is -30.1 eV for the cell shown. For the energy relative to the elements, uncorrected, the calculation gives 439 meV/atom.

Geometry as CIF:
```
data_TcHgN2O
_cell_length_a 3.987
_cell_length_b 3.987
_cell_length_c 3.895
_cell_angle_alpha 90.00
_cell_angle_beta 90.00
_cell_angle_gamma 90.00
_space_group_name_H-M_alt 'P 4/m m m'
_space_group_IT_number 123
_space_group_name_Hall '-P 4 2'
loop_
_atom_site_label
_atom_site_fract_x
_atom_site_fract_y
_atom_site_fract_z
Tc1 0.000 0.000 0.000
Hg1 0.500 0.500 0.500
N1 0.000 0.500 0.000
O1 0.000 0.000 0.500
```